No. 1
This record from OQMD via LeMat-Bulk describes a geometry-optimized BaNpBi structure. The functional is GGA-PBE.

The structure in extended XYZ format:
```
3
Lattice="0.0000 3.8788 3.8788 3.8788 0.0000 3.8788 3.8788 3.8788 0.0000" Properties=species:S:1:pos:R:3 pbc="T T T"
Ba 0.0000 0.0000 0.0000
Np 1.9394 1.9394 1.9394
Bi 3.8788 3.8788 3.8788
```

Calculated values
VASP energy: -17.496 eV/f.u.
Space group: F-43m, No. 216
V: 38.90 A^3/atom

***

No. 2
This record from OQMD via LeMat-Bulk describes a geometry-optimized CdAsIrO structure. The functional is GGA-PBE.

The structure in extended XYZ format:
```
8
Lattice="3.9939 0.0000 0.0000 0.0000 6.1283 0.0000 0.0000 0.0000 6.0381" Properties=species:S:1:pos:R:3 pbc="T T T"
Cd 0.0000 0.9355 0.0000
Cd 0.0000 5.1928 3.0190
As 1.9970 2.1962 4.7684
As 1.9970 3.9321 1.7493
Ir 1.9970 1.6728 2.4566
Ir 1.9970 4.4555 5.4757
O 0.0000 1.2264 2.2501
O 0.0000 4.9019 5.2691
```

Calculated values
Space group: Pmc2_1, No. 26
Energy relative to the lowest polymorph listed for this composition: 7.35 kcal/mol of atoms
V: 18.47 A^3/atom

***

No. 3
This record from OQMD via LeMat-Bulk describes a geometry-optimized Sr2GaCu2 structure. The functional is GGA-PBE.

The structure in extended XYZ format:
```
5
Lattice="-1.8528 1.8528 8.6866 1.8528 -1.8528 8.6866 1.8528 1.8528 -8.6866" Properties=species:S:1:pos:R:3 pbc="T T T"
Sr 0.0000 0.0000 1.8854
Sr 0.0000 0.0000 15.4877
Ga 0.0000 0.0000 8.6866
Cu 1.8528 0.0000 4.3433
Cu 0.0000 1.8528 4.3433
```

Calculated values
VASP energy: -13.836 eV/f.u.
Space group: I4/mmm, No. 139
V: 23.86 A^3/atom

***

No. 4
This record from OQMD via LeMat-Bulk describes a geometry-optimized LuNi3 structure. The functional is GGA-PBE.

The structure in extended XYZ format:
```
8
Lattice="5.5087 0.0000 0.0000 -2.7544 4.7707 0.0000 0.0000 0.0000 4.2395" Properties=species:S:1:pos:R:3 pbc="T T T"
Lu 0.0000 3.1805 1.0599
Lu 2.7544 1.5902 3.1796
Ni 0.0000 1.4302 3.1796
Ni -1.5157 4.0556 3.1796
Ni 1.2386 0.7151 1.0599
Ni 1.5157 4.0556 3.1796
Ni 4.2701 0.7151 1.0599
Ni 2.7544 3.3404 1.0599
```

Calculated values
Space group: P6_3/mmc, No. 194
DFT formation energy: -0.3693 eV/atom
V: 13.93 A^3/atom